MnOs2Pt: single point on PBEsol structure, SCAN.

Calculated values
- Symmetry: P2/m (10)
- Energy of formation from the pure elements: 0.22 eV/atom

Cell lengths 2.667, 4.514, 4.700 Å; angles 90.00, 93.75, 90.00 degrees
Site moments in Bohr magnetons follow the coordinates.
Element x y z (fractional)
1 Pt 0.500 0.500 0.000  0.16
2 Os 0.780 0.000 0.737  0.16
3 Os 0.220 0.000 0.263  0.16
4 Mn 0.000 0.500 0.500  3.55



MnOs2Pt: single point on PBEsol structure, SCAN.

Calculated values
- Symmetry: R3m (160)
- Energy of formation from the pure elements: -0.02 eV/atom

Cell lengths 2.687, 2.687, 8.838 Å; angles 81.26, 81.26, 60.00 degrees
Site moments in Bohr magnetons follow the coordinates.
Element x y z (fractional)
1 Mn 0.252 0.252 0.245  3.52
2 Os 0.998 0.998 0.007  -0.27
3 Os 0.747 0.747 0.758  -0.13
4 Pt 0.503 0.503 0.490  0.16



Rb3MnOs: single point on PBEsol structure, SCAN.

Calculated values
- Symmetry: Pm-3m (221)
- Energy of formation from the pure elements: 1.89 eV/atom

Cell lengths 6.316, 6.316, 6.316 Å; angles 90.00, 90.00, 90.00 degrees
Site moments in Bohr magnetons follow the coordinates.
Element x y z (fractional)
1 Rb 0.000 0.500 0.000  0.00
2 Rb 0.000 0.000 0.500  0.00
3 Rb 0.500 0.000 0.000  0.00
4 Os 0.500 0.500 0.500  2.13
5 Mn 0.000 0.000 0.000  4.30



MnReOs2: single point on PBEsol structure, SCAN.

Calculated values
- Energy above the most stable polymorph in this dataset: 0.000 eV/atom
- Symmetry: I-4m2 (119)
- Energy of formation from the pure elements: 0.00 eV/atom

Cell lengths 3.769, 3.769, 4.628 Å; angles 114.03, 114.03, 90.00 degrees
Site moments in Bohr magnetons follow the coordinates.
Element x y z (fractional)
1 Re 0.500 0.500 0.000  -0.46
2 Mn 0.250 0.750 0.500  2.50
3 Os 0.000 0.000 0.000  -0.36
4 Os 0.750 0.250 0.500  -0.29



MnRe2Os: single point on PBEsol structure, SCAN.

Calculated values
- Energy above the most stable polymorph in this dataset: 0.000 eV/atom
- Symmetry: Cm (8)
- Energy of formation from the pure elements: 0.02 eV/atom

Cell lengths 2.697, 4.616, 4.648 Å; angles 99.73, 90.00, 106.99 degrees
Site moments in Bohr magnetons follow the coordinates.
Element x y z (fractional)
1 Re 0.002 0.004 0.007  -0.25
2 Re 0.246 0.492 0.737  -0.20
3 Mn 0.500 0.000 0.501  2.67
4 Os 0.752 0.505 0.254  -0.09



MnReOs2: single point on PBEsol structure, SCAN.

Calculated values
- Energy above the most stable polymorph in this dataset: 0.107 eV/atom
- Symmetry: R3m (160)
- Energy of formation from the pure elements: 0.10 eV/atom

Cell lengths 2.682, 2.682, 8.800 Å; angles 81.24, 81.24, 60.00 degrees
Site moments in Bohr magnetons follow the coordinates.
Element x y z (fractional)
1 Re 0.502 0.502 0.493  -0.13
2 Os 0.750 0.750 0.749  0.05
3 Os 0.996 0.996 0.013  -0.24
4 Mn 0.251 0.251 0.246  2.65



MnRe2Os: single point on PBEsol structure, SCAN.

Calculated values
- Energy above the most stable polymorph in this dataset: 0.154 eV/atom
- Symmetry: P4/mmm (123)
- Energy of formation from the pure elements: 0.18 eV/atom

Cell lengths 2.817, 4.460, 4.460 Å; angles 90.00, 90.00, 90.00 degrees
Site moments in Bohr magnetons follow the coordinates.
Element x y z (fractional)
1 Re 0.000 0.000 0.500  -0.15
2 Re 0.000 0.500 0.000  -0.15
3 Mn 0.500 0.500 0.500  3.27
4 Os 0.500 0.000 0.000  0.04



MnReOs2: single point on PBEsol structure, SCAN.

Calculated values
- Energy above the most stable polymorph in this dataset: 0.004 eV/atom
- Symmetry: Cmmm (65)
- Energy of formation from the pure elements: 0.00 eV/atom

Cell lengths 2.693, 4.612, 4.612 Å; angles 109.11, 90.00, 90.00 degrees
Site moments in Bohr magnetons follow the coordinates.
Element x y z (fractional)
1 Mn 0.500 0.500 0.500  2.95
2 Os 0.000 0.500 0.000  -0.29
3 Os 0.000 0.000 0.500  -0.29
4 Re 0.500 0.000 0.000  -0.11



Mn2OsRh: single point on PBEsol structure, SCAN.

Calculated values
- Symmetry: C2/m (12)
- Energy of formation from the pure elements: -0.04 eV/atom

Cell lengths 2.612, 4.957, 4.957 Å; angles 115.61, 102.73, 102.73 degrees
Site moments in Bohr magnetons follow the coordinates.
Element x y z (fractional)
1 Mn 0.000 0.000 0.500  3.42
2 Mn 0.000 0.500 0.000  3.42
3 Os 0.500 0.000 0.000  -0.18
4 Rh 0.500 0.500 0.500  0.33



Zr2MnOsRh: single point on PBEsol structure, SCAN.

Calculated values
- Symmetry: P4/mmm (123)
- Energy of formation from the pure elements: 0.65 eV/atom

Cell lengths 4.201, 4.638, 4.638 Å; angles 90.00, 90.00, 90.00 degrees
Element x y z (fractional)
1 Rh 0.500 0.000 0.000
2 Mn 0.000 0.000 0.000
3 Os 0.500 0.500 0.500
4 Zr 0.000 0.000 0.500
5 Zr 0.000 0.500 0.000



Mn4OsRu: single point on PBEsol structure, SCAN.

Calculated values
- Symmetry: F-43m (216)
- Energy of formation from the pure elements: 0.08 eV/atom

Cell lengths 4.592, 4.592, 4.592 Å; angles 60.00, 60.00, 60.00 degrees
Site moments in Bohr magnetons follow the coordinates.
Element x y z (fractional)
1 Mn 0.374 0.877 0.374  0.86
2 Mn 0.877 0.374 0.374  0.86
3 Mn 0.374 0.374 0.877  0.86
4 Mn 0.374 0.374 0.374  0.86
5 Os 0.750 0.750 0.750  -0.37
6 Ru 0.000 0.000 0.000  -0.47



Mn2OsRu: single point on PBEsol structure, SCAN.

Calculated values
- Symmetry: Amm2 (38)
- Energy of formation from the pure elements: 0.07 eV/atom

Cell lengths 2.621, 3.927, 4.871 Å; angles 90.00, 105.61, 90.00 degrees
Element x y z (fractional)
1 Mn 0.807 0.000 0.614
2 Mn 0.692 0.500 0.384
3 Os 0.077 0.000 0.153
4 Ru 0.422 0.500 0.845



Among the records above, which one has the highest energy of formation from the pure elements? Rb3MnOs



What did the twelfth record say?
Mn2OsRu: single point on PBEsol structure, SCAN.

Calculated values
- Symmetry: Amm2 (38)
- Energy of formation from the pure elements: 0.07 eV/atom

Cell lengths 2.621, 3.927, 4.871 Å; angles 90.00, 105.61, 90.00 degrees
Element x y z (fractional)
1 Mn 0.807 0.000 0.614
2 Mn 0.692 0.500 0.384
3 Os 0.077 0.000 0.153
4 Ru 0.422 0.500 0.845